[1]
! PBE ZnFeB3, relaxed; values from VASP
! formation energy = 2.21 eV/atom
! distance to the lowest polymorph of the same formula = 1.368 eV/atom
! magnetic moment = 0.0 μB per cell
! E = -3.740 eV per atom
&SYSTEM
  ibrav = 0, nat = 5, ntyp = 3
/
ATOMIC_SPECIES
Zn 65.41 Zn.upf
B 10.81 B.upf
Fe 55.84 Fe.upf
CELL_PARAMETERS angstrom
3.829 0.000 0.000
0.000 3.829 0.000
0.000 0.000 3.829
ATOMIC_POSITIONS crystal
Zn 0.000 0.000 0.000
B 0.000 0.500 0.000
B 0.000 0.000 0.500
B 0.500 0.000 0.000
Fe 0.500 0.500 0.500

=====

[2]
! PBE PrSm2Rh, relaxed; values from VASP
! formation energy = -0.15 eV/atom
! distance to the lowest polymorph of the same formula = 0.295 eV/atom
! magnetic moment = 0.8 μB per cell
! E = -5.539 eV per atom
&SYSTEM
  ibrav = 0, nat = 4, ntyp = 3
/
ATOMIC_SPECIES
Pr 140.91 Pr.upf
Rh 102.91 Rh.upf
Sm 150.36 Sm.upf
CELL_PARAMETERS angstrom
3.783 0.000 0.000
1.891 3.276 0.000
1.891 1.092 10.642
ATOMIC_POSITIONS crystal
Pr 0.000 0.000 0.000
Rh 0.500 0.500 0.500
Sm 0.113 0.113 0.662
Sm 0.887 0.887 0.338

=====

[3]
! PBE Cd4Ag7Sn, relaxed; values from VASP
! formation energy = 0.09 eV/atom
! distance to the lowest polymorph of the same formula = 0.116 eV/atom
! magnetic moment = 0.0 μB per cell
! E = -2.212 eV per atom
&SYSTEM
  ibrav = 0, nat = 12, ntyp = 3
/
ATOMIC_SPECIES
Cd 112.41 Cd.upf
Ag 107.87 Ag.upf
Sn 118.71 Sn.upf
CELL_PARAMETERS angstrom
-2.650 4.453 0.616
-9.136 -2.113 -1.928
-2.121 1.045 5.419
ATOMIC_POSITIONS crystal
Cd 0.598 0.230 0.574
Cd 0.402 0.770 0.426
Cd 0.734 0.686 0.847
Cd 0.266 0.314 0.153
Ag 0.793 0.916 0.498
Ag 0.207 0.084 0.502
Ag 0.044 0.626 0.286
Ag 0.956 0.374 0.714
Ag 0.351 0.529 0.769
Ag 0.500 0.000 0.000
Ag 0.649 0.471 0.231
Sn 0.000 0.000 0.000

=====

[4]
! PBE Ce2Th8Sc, relaxed; values from VASP
! formation energy = 0.22 eV/atom
! magnetic moment = 0.0 μB per cell
! E = -6.831 eV per atom
&SYSTEM
  ibrav = 0, nat = 11, ntyp = 3
/
ATOMIC_SPECIES
Ce 140.12 Ce.upf
Th 232.04 Th.upf
Sc 44.96 Sc.upf
CELL_PARAMETERS angstrom
5.838 0.398 1.741
1.506 8.468 4.499
0.499 3.668 8.973
ATOMIC_POSITIONS crystal
Ce 0.110 0.263 0.263
Ce 0.890 0.737 0.737
Th 0.704 0.147 0.659
Th 0.296 0.341 0.853
Th 0.691 0.203 0.203
Th 0.309 0.797 0.797
Th 0.704 0.659 0.147
Th 0.296 0.853 0.341
Th 0.215 0.417 0.417
Th 0.785 0.583 0.583
Sc 0.000 0.000 0.000

=====

[5]
! PBE Np4Co, relaxed; values from VASP
! formation energy = 0.86 eV/atom
! magnetic moment = 18.2 μB per cell
! E = -10.917 eV per atom
&SYSTEM
  ibrav = 0, nat = 5, ntyp = 2
/
ATOMIC_SPECIES
Np 237.00 Np.upf
Co 58.93 Co.upf
CELL_PARAMETERS angstrom
5.049 0.000 0.000
0.000 5.049 0.000
0.000 0.000 5.049
ATOMIC_POSITIONS crystal
Np 0.000 0.000 0.000
Np 0.500 0.000 0.500
Np 0.000 0.500 0.500
Np 0.500 0.500 0.000
Co 0.500 0.500 0.500

=====

[6]
! PBE NaAc2Ru, relaxed; values from VASP
! formation energy = -0.01 eV/atom
! magnetic moment = 0.0 μB per cell
! E = -4.714 eV per atom
&SYSTEM
  ibrav = 0, nat = 4, ntyp = 3
/
ATOMIC_SPECIES
Ru 101.07 Ru.upf
Ac 227.00 Ac.upf
Na 22.99 Na.upf
CELL_PARAMETERS angstrom
-1.497 2.762 -1.955
-3.379 -1.100 1.033
0.512 5.944 8.005
ATOMIC_POSITIONS crystal
Ru 0.500 0.500 0.000
Ac 0.000 0.000 0.821
Ac 0.000 0.000 0.179
Na 0.500 0.500 0.500

=====

[7]
! PBE SrZnMo2Rh, relaxed; values from VASP
! formation energy = 0.91 eV/atom
! magnetic moment = 2.6 μB per cell
! E = -5.486 eV per atom
&SYSTEM
  ibrav = 0, nat = 5, ntyp = 4
/
ATOMIC_SPECIES
Sr 87.62 Sr.upf
Mo 95.94 Mo.upf
Rh 102.91 Rh.upf
Zn 65.41 Zn.upf
CELL_PARAMETERS angstrom
-3.053 3.243 -1.944
-1.413 -3.329 -3.335
-3.514 -1.511 2.997
ATOMIC_POSITIONS crystal
Sr 0.500 0.500 0.500
Mo 0.000 0.000 0.500
Mo 0.500 0.000 0.000
Rh 0.000 0.000 0.000
Zn 0.000 0.500 0.000

=====

[8]
! PBE ThSi2NiRu2, relaxed; values from VASP
! uncorrected formation energy = -0.274 eV/atom
! magnetic moment = 0.0 μB per cell
! E = -7.374 eV per atom
&SYSTEM
  ibrav = 0, nat = 6, ntyp = 4
/
ATOMIC_SPECIES
Th 232.04 Th.upf
Si 28.09 Si.upf
Ni 58.69 Ni.upf
Ru 101.07 Ru.upf
CELL_PARAMETERS angstrom
4.337 0.000 0.000
0.000 4.337 0.000
0.000 0.000 5.396
ATOMIC_POSITIONS crystal
Th 0.000 0.000 0.500
Si 0.500 0.000 0.000
Si 0.000 0.500 0.000
Ni 0.000 0.000 0.000
Ru 0.500 0.500 0.742
Ru 0.500 0.500 0.258

=====

Q: Which of these has the highest magnetic moment?
A: Np4Co

=====

Q: Number 5 is which compound?
A: Np4Co